First-principles (PBE-GGA) data for a geometry-optimized ZrP2 structure, as listed in the Alexandria database.

Cell and atoms, written as CIF:
```
data_ZrP2
_chemical_formula_sum 'Zr2 P4'
_cell_length_a 5.324
_cell_length_b 6.455
_cell_length_c 3.720
_cell_angle_alpha 90.00
_cell_angle_beta 90.00
_cell_angle_gamma 90.00
_symmetry_space_group_name_H-M 'P 1'
_symmetry_Int_Tables_number 1
loop_
_symmetry_equiv_pos_as_xyz
'x,y,z'
loop_
_atom_site_label
_atom_site_fract_x
_atom_site_fract_y
_atom_site_fract_z
_atom_site_occupancy
Zr1 0.000 0.000 0.000 1
Zr2 0.500 0.500 0.500 1
P1 0.161 0.396 0.000 1
P2 0.339 0.896 0.500 1
P3 0.661 0.104 0.500 1
P4 0.839 0.604 0.000 1
```

***

First-principles (PBE-GGA) data for a geometry-optimized ZrP3 structure, as listed in the Alexandria database.

Cell and atoms, written as CIF:
```
data_ZrP3
_chemical_formula_sum 'Zr2 P6'
_cell_length_a 5.673
_cell_length_b 5.673
_cell_length_c 4.892
_cell_angle_alpha 90.00
_cell_angle_beta 90.00
_cell_angle_gamma 123.26
_symmetry_space_group_name_H-M 'P 1'
_symmetry_Int_Tables_number 1
loop_
_symmetry_equiv_pos_as_xyz
'x,y,z'
loop_
_atom_site_label
_atom_site_fract_x
_atom_site_fract_y
_atom_site_fract_z
_atom_site_occupancy
Zr1 0.122 0.878 0.750 1
Zr2 0.878 0.122 0.250 1
P1 0.155 0.378 0.750 1
P2 0.291 0.709 0.250 1
P3 0.378 0.155 0.250 1
P4 0.622 0.845 0.750 1
P5 0.709 0.291 0.750 1
P6 0.845 0.622 0.250 1
```

***

Number 1: electronic total energy -41.80 eV/cell, theoretical density 3.98 g cm⁻³, V 127.84 Å³ per cell. Number 2: electronic total energy -51.96 eV/cell, theoretical density 4.65 g cm⁻³, V 131.64 Å³ per cell.